Record 1
Here is crystalline Sr2AsOs at its relaxed geometry from the Alexandria database. Energies are from PBEsol.

Cell and atoms, written as POSCAR:
```
Sr2AsOs
1.0
-0.156 3.482 0.025
-1.995 1.639 2.342
6.452 1.985 6.702
Sr As Os
2 1 1
Cartesian
0.992 1.773 2.199
3.309 5.333 6.870
2.151 3.553 4.535
0.000 0.000 0.000
```

Crystal system: trigonal
Spin magnetization (μB/atom): 0.000
SG: R-3m (166)

***

Record 2
Here is crystalline SrAs2Os at its relaxed geometry from the Alexandria database. Energies are from PBEsol.

Cell and atoms, written as POSCAR:
```
SrAs2Os
1.0
3.220 0.000 0.000
0.000 3.533 0.000
0.000 0.000 7.007
Sr As Os
1 2 1
Cartesian
1.610 1.766 5.260
0.000 0.000 0.338
1.610 1.766 2.017
0.000 0.000 2.895
```

Crystal system: orthorhombic
Spin magnetization (μB/atom): 0.000
SG: Pmm2 (25)

***

Record 3
Here is crystalline Sr3AsOs at its relaxed geometry from the Alexandria database. Energies are from PBEsol.

Cell and atoms, written as POSCAR:
```
Sr3AsOs
1.0
5.500 0.000 0.000
0.000 5.500 0.000
0.000 0.000 5.500
Sr As Os
3 1 1
Cartesian
0.000 2.750 0.000
0.000 0.000 2.750
2.750 0.000 0.000
2.750 2.750 2.750
0.000 0.000 0.000
```

Crystal system: cubic
Spin magnetization (μB/atom): 0.083
SG: Pm-3m (221)

***

Record 4
Here is crystalline TaAsOs4 at its relaxed geometry from the Alexandria database. Energies are from PBEsol.

Cell and atoms, written as POSCAR:
```
TaAsOs4
1.0
5.134 0.000 0.000
2.567 4.446 0.000
2.567 1.482 4.192
As Os Ta
1 4 1
Cartesian
0.000 0.000 0.000
3.850 2.223 1.572
5.134 2.964 3.668
6.417 2.223 1.572
5.134 4.446 1.572
7.700 4.446 3.144
```

Crystal system: cubic
Spin magnetization (μB/atom): 0.000
SG: F-43m (216)

***

no.,energy of formation (eV/atom)
1,0.488
2,0.069
3,0.332
4,0.594